No. 1
! Rb2CdSnO4 GGA-PBE relaxed; values from VASP
&SYSTEM
  ibrav = 0, nat = 8, ntyp = 4
/
ATOMIC_SPECIES
Rb 85.47 Rb.upf
Cd 112.41 Cd.upf
Sn 118.71 Sn.upf
O 16.00 O.upf
CELL_PARAMETERS angstrom
-3.4713 2.9531 4.3123
-2.5484 -5.4756 1.7018
6.0350 0.7248 -0.2043
ATOMIC_POSITIONS crystal
Rb 0.4860 0.9860 0.9720
Rb 0.2360 0.2360 0.4720
Cd 0.9859 0.4859 0.9718
Sn 0.7359 0.7359 0.4718
O 0.7111 0.6347 0.7214
O 0.8369 0.4613 0.2218
O 0.3849 0.7605 0.2218
O 0.0103 0.0867 0.7214
! mass density = 4.7 g cm⁻³
! formation energy without anion corrections = -1.424 eV per atom
! total magnetic moment = 0.0 μB/f.u.

No. 2
! Rb2SrCd2O4 GGA-PBE relaxed; values from VASP
&SYSTEM
  ibrav = 0, nat = 9, ntyp = 4
/
ATOMIC_SPECIES
Rb 85.47 Rb.upf
Sr 87.62 Sr.upf
Cd 112.41 Cd.upf
O 16.00 O.upf
CELL_PARAMETERS angstrom
3.8584 0.0000 0.0000
0.0000 9.4099 -0.9148
-1.9292 -4.7062 5.6232
ATOMIC_POSITIONS crystal
Rb 0.1751 0.5680 0.3502
Rb 0.8249 0.4320 0.6498
Sr 0.0000 0.0000 0.0000
Cd 0.6315 0.8934 0.2631
Cd 0.3685 0.1066 0.7369
O 0.2199 0.1075 0.4397
O 0.7801 0.8925 0.5603
O 0.4383 0.7605 0.8766
O 0.5617 0.2395 0.1234
! mass density = 4.8 g cm⁻³
! formation energy without anion corrections = -1.468 eV per atom
! total magnetic moment = 0.0 μB/f.u.

Which of these has the lowest mass density?
Rb2CdSnO4